Below is LaCrMo3 after structural relaxation, with properties calculated at the GGA-PBE level.

As for the crystal system: cubic. The density comes out at 7594 kg/m³. The density of states at the Fermi level comes out at 8.16 states/eV/f.u. The calculation puts the total energy at -6.79 eV/atom. The space group is No. 221.

abc: 4.7130 4.7130 4.7130
angles: 90.00 90.00 90.00
Fractional coordinates of all 5 atoms:
La (0.0000, 0.0000, 0.0000)
Cr (0.5000, 0.5000, 0.5000)
Mo (0.0000, 0.0000, 0.5000)
Mo (0.0000, 0.5000, 0.0000)
Mo (0.5000, 0.0000, 0.0000)

Below is LaCrMo after structural relaxation, with properties calculated at the GGA-PBE level.

As for the crystal system: cubic. The density comes out at 6995 kg/m³. The density of states at the Fermi level comes out at 3.69 states/eV/f.u. The calculation puts the total energy at -7.59 eV/atom. The space group is No. 216.

abc: 4.5837 4.5837 4.5837
angles: 60.00 60.00 60.00
Fractional coordinates of all 3 atoms:
La (0.0000, 0.0000, 0.0000)
Cr (0.5000, 0.5000, 0.5000)
Mo (0.2500, 0.2500, 0.2500)

Below is LaCrMo after structural relaxation, with properties calculated at the GGA-PBE level.

As for the crystal system: trigonal. The density comes out at 7923 kg/m³. The density of states at the Fermi level comes out at 4.56 states/eV/f.u. The calculation puts the total energy at -7.75 eV/atom. The space group is No. 156.

abc: 3.1589 3.1589 6.9570
angles: 90.00 90.00 120.00
Fractional coordinates of all 3 atoms:
La (0.0000, 0.0000, 0.0000)
Cr (0.3333, 0.6667, 0.6223)
Mo (0.6667, 0.3333, 0.4004)

Below is LaCrMo3 after structural relaxation, with properties calculated at the GGA-PBE level.

As for the crystal system: cubic. The density comes out at 7835 kg/m³. The density of states at the Fermi level comes out at 8.75 states/eV/f.u. The calculation puts the total energy at -8.55 eV/atom. The space group is No. 221.

abc: 4.6640 4.6640 4.6640
angles: 90.00 90.00 90.00
Fractional coordinates of all 5 atoms:
La (0.0000, 0.0000, 0.0000)
Cr (0.5000, 0.5000, 0.5000)
Mo (0.0000, 0.5000, 0.5000)
Mo (0.5000, 0.0000, 0.5000)
Mo (0.5000, 0.5000, 0.0000)

Below is LaCrMo after structural relaxation, with properties calculated at the GGA-PBE level.

As for the crystal system: cubic. The density comes out at 6488 kg/m³. The density of states at the Fermi level comes out at 3.83 states/eV/f.u. The calculation puts the total energy at -6.90 eV/atom. The space group is No. 216.

abc: 4.7000 4.7000 4.7000
angles: 60.00 60.00 60.00
Fractional coordinates of all 3 atoms:
La (0.0000, 0.0000, 0.0000)
Cr (0.2500, 0.2500, 0.2500)
Mo (0.7500, 0.7500, 0.7500)

Below is LaCrMo after structural relaxation, with properties calculated at the GGA-PBE level.

As for the crystal system: orthorhombic. The density comes out at 8242 kg/m³. The density of states at the Fermi level comes out at 3.74 states/eV/f.u. The calculation puts the total energy at -7.84 eV/atom. The space group is No. 42.

abc: 7.5527 7.2824 3.0111
angles: 83.38 73.29 23.33
Fractional coordinates of all 3 atoms:
La (0.0000, 0.0000, 0.0000)
Cr (0.3178, 0.3178, 0.6822)
Mo (0.6975, 0.6975, 0.3025)

Below is La2CrMoN5 after structural relaxation, with properties calculated at the GGA-PBE level.

As for the crystal system: orthorhombic. The density comes out at 6813 kg/m³. For the formation energy (no corrections), the calculation gives -0.89 eV per atom. The density of states at the Fermi level comes out at 4.14 states/eV/f.u. The calculation puts the total energy at -8.88 eV/atom. The space group is No. 36.

abc: 7.3453 7.3453 10.1455
angles: 90.00 90.00 153.80
Fractional coordinates of all 18 atoms:
La (0.1229, 0.8771, 0.5000)
La (0.1341, 0.8659, 0.1230)
La (0.8659, 0.1341, 0.6230)
La (0.8771, 0.1229, 0.0000)
Cr (0.4431, 0.5569, 0.2632)
Cr (0.5569, 0.4431, 0.7632)
Mo (0.2055, 0.7945, 0.8272)
Mo (0.7945, 0.2055, 0.3272)
N (0.0451, 0.9549, 0.8423)
N (0.2977, 0.7023, 0.4625)
N (0.3193, 0.6807, 0.1889)
N (0.3371, 0.6629, 0.8174)
N (0.4972, 0.5028, 0.1127)
N (0.5028, 0.4972, 0.6127)
N (0.6629, 0.3371, 0.3174)
N (0.6807, 0.3193, 0.6889)
N (0.7023, 0.2977, 0.9625)
N (0.9549, 0.0451, 0.3423)

Below is La2CrMoN after structural relaxation, with properties calculated at the GGA-PBE level.

As for the crystal system: tetragonal. The density comes out at 5506 kg/m³. For the formation energy (no corrections), the calculation gives 1.19 eV per atom. The density of states at the Fermi level comes out at 4.47 states/eV/f.u. The calculation puts the total energy at -6.54 eV/atom. The space group is No. 123.

abc: 5.4277 5.4277 4.5019
angles: 90.00 90.00 90.00
Fractional coordinates of all 5 atoms:
La (0.0000, 0.5000, 0.0000)
La (0.5000, 0.0000, 0.0000)
Cr (0.0000, 0.0000, 0.5000)
Mo (0.0000, 0.0000, 0.0000)
N (0.5000, 0.5000, 0.5000)